VASP calculation (PBE) on a relaxed Fe2Pt6Rh crystal.

Values from the calculation:
Space-group type   No. 12
Mass density   17.17 g cm⁻³
Crystal system   monoclinic
E_form   -1.46 eV/f.u.
Energy above the lowest structure with this stoichiometry   0.00 kJ per mole of atoms

abc: 4.7852 4.7852 8.2873
angles: 107.04 107.04 48.19
Element x y z (fractional)
Fe1 0.1659 0.1659 0.2232
Fe2 0.8341 0.8341 0.7768
Pt1 0.1666 0.1666 0.8956
Pt2 0.1700 0.1700 0.5561
Pt3 0.4952 0.4952 0.3249
Pt4 0.5048 0.5048 0.6751
Pt5 0.8300 0.8300 0.4439
Pt6 0.8334 0.8334 0.1044
Rh1 0.5000 0.5000 0.0000


VASP calculation (PBE) on a relaxed FePt3Rh crystal.

Values from the calculation:
Space-group type   No. 63
Mass density   16.69 g cm⁻³
Crystal system   orthorhombic
E_form   -0.79 eV/f.u.
Energy above the lowest structure with this stoichiometry   0.00 kJ per mole of atoms

abc: 9.9968 9.9968 3.8760
angles: 90.00 90.00 157.52
Element x y z (fractional)
Fe1 0.1511 0.8489 0.7500
Fe2 0.8489 0.1511 0.2500
Pt1 0.0551 0.9449 0.2500
Pt2 0.2492 0.7508 0.2500
Pt3 0.4475 0.5525 0.2500
Pt4 0.5525 0.4475 0.7500
Pt5 0.7508 0.2492 0.7500
Pt6 0.9449 0.0551 0.7500
Rh1 0.3497 0.6503 0.7500
Rh2 0.6503 0.3497 0.2500


VASP calculation (PBE) on a relaxed Fe2Pt8Rh crystal.

Values from the calculation:
Space-group type   No. 12
Mass density   17.83 g cm⁻³
Crystal system   monoclinic
E_form   -1.59 eV/f.u.

abc: 7.3172 7.3172 6.2239
angles: 105.44 105.44 31.07
Element x y z (fractional)
Fe1 0.2256 0.2256 0.1439
Fe2 0.7744 0.7744 0.8561
Pt1 0.0475 0.0475 0.2292
Pt2 0.1429 0.1429 0.7000
Pt3 0.3180 0.3180 0.5872
Pt4 0.4021 0.4021 0.0439
Pt5 0.5979 0.5979 0.9561
Pt6 0.6820 0.6820 0.4128
Pt7 0.8571 0.8571 0.3000
Pt8 0.9525 0.9525 0.7708
Rh1 0.5000 0.5000 0.5000


What is the formula in the first record?
Fe2Pt6Rh